# K2SnH12N6 meta-GGA SCAN single point on PBEsol structure
data_K2SnH12N6
_symmetry_space_group_name_H-M 'R -3'
_symmetry_Int_Tables_number 148
_symmetry_space_group_name_Hall '-R 3'
_cell_length_a 6.2284
_cell_length_b 6.2284
_cell_length_c 19.9322
_cell_angle_alpha 90.00
_cell_angle_beta 90.00
_cell_angle_gamma 120.00
loop_
_atom_site_label
_atom_site_type_symbol
_atom_site_fract_x
_atom_site_fract_y
_atom_site_fract_z
_atom_site_occupancy
K1 K 0.0000 0.0000 0.1776 1
Sn1 Sn 0.0000 0.0000 0.0000 1
H1 H 0.0501 0.6152 0.9628 1
H2 H 0.0766 0.5503 0.2583 1
N1 N 0.0080 0.2863 0.0661 1
# Final energy in eV per formula unit: -157.68